{
  "formula": "TbSm7Er3",
  "functional": "GGA-PBE",
  "state": "optimized geometry",
  "lattice_angstrom": [[-4.4298, 1.9199, 3.2963], [-2.9750, -3.6638, -7.0633], [1.9590, -7.9971, 2.0912]],
  "species": ["Sm", "Sm", "Sm", "Sm", "Sm", "Sm", "Sm", "Er", "Er", "Er", "Tb"],
  "frac_coords": [[0.6941, 0.9849, 0.4027], [0.2109, 0.2089, 0.2089], [0.7891, 0.7911, 0.7911], [0.3059, 0.0151, 0.5973], [0.3059, 0.5973, 0.0151], [0.0000, 0.5000, 0.5000], [0.6941, 0.4027, 0.9849], [0.0000, 0.7963, 0.2037], [0.0000, 0.2037, 0.7963], [0.5000, 0.0000, 0.0000], [0.5000, 0.5000, 0.5000]],
  "m_tot_mub_per_fu": 0.13,
  "crystal_system": "monoclinic",
  "relative_energy_mev_per_atom": 115,
  "formation_enthalpy_0k_ev_per_atom": 0.24,
  "mass_density_g_cm3": 7.7
}

=====

{
  "formula": "TiNiPd3",
  "functional": "GGA-PBE",
  "state": "optimized geometry",
  "lattice_angstrom": [[4.5120, 0.0000, 0.0000], [0.0000, 4.5120, 0.0000], [0.0000, 0.0000, 4.5120]],
  "species": ["Pd", "Pd", "Pd", "Ni", "Ti"],
  "frac_coords": [[0.0000, 0.0000, 0.5000], [0.0000, 0.5000, 0.0000], [0.5000, 0.0000, 0.0000], [0.0000, 0.0000, 0.0000], [0.5000, 0.5000, 0.5000]],
  "m_tot_mub_per_fu": 0.00,
  "crystal_system": "cubic",
  "relative_energy_mev_per_atom": 1104,
  "formation_enthalpy_0k_ev_per_atom": 0.68,
  "mass_density_g_cm3": 7.7
}

=====

{
  "formula": "La3BiIr",
  "functional": "GGA-PBE",
  "state": "optimized geometry",
  "lattice_angstrom": [[-3.3853, -2.9080, 1.2127], [5.4761, -4.5547, 4.3648], [-3.8334, 6.4819, 4.8418]],
  "species": ["Bi", "Bi", "La", "La", "La", "La", "La", "La", "Ir", "Ir"],
  "frac_coords": [[0.0713, 0.0593, 0.1605], [0.5713, 0.4106, 0.7559], [0.5713, 0.7763, 0.2129], [0.5713, 0.4129, 0.3676], [0.0713, 0.0570, 0.5488], [0.0713, 0.3958, 0.0319], [0.0713, 0.6935, 0.7036], [0.5713, 0.0740, 0.8845], [0.5713, 0.8275, 0.5710], [0.0713, 0.6424, 0.3455]],
  "m_tot_mub_per_fu": 0.00,
  "crystal_system": "monoclinic",
  "relative_energy_mev_per_atom": 88,
  "formation_enthalpy_0k_ev_per_atom": -0.74,
  "mass_density_g_cm3": 8.5
}

=====

{
  "formula": "NdGaPb",
  "functional": "GGA-PBE",
  "state": "optimized geometry",
  "lattice_angstrom": [[4.2979, 0.0000, 0.0000], [0.0000, 4.6431, 0.0000], [0.0000, -2.3216, 8.3157]],
  "species": ["Ga", "Ga", "Pb", "Pb", "Nd", "Nd"],
  "frac_coords": [[0.7500, 0.5471, 0.0943], [0.2500, 0.4529, 0.9057], [0.2500, 0.7333, 0.4666], [0.7500, 0.2667, 0.5334], [0.2500, 0.0895, 0.1790], [0.7500, 0.9105, 0.8210]],
  "m_tot_mub_per_fu": 0.00,
  "crystal_system": "orthorhombic",
  "relative_energy_mev_per_atom": 82,
  "formation_enthalpy_0k_ev_per_atom": -0.40,
  "mass_density_g_cm3": 8.4
}

=====

{
  "formula": "SmHg2Ge",
  "functional": "GGA-PBE",
  "state": "optimized geometry",
  "lattice_angstrom": [[4.9567, 0.0000, 0.0000], [0.0000, 4.3610, 0.0000], [0.0000, 0.0000, 4.3610]],
  "species": ["Hg", "Hg", "Sm", "Ge"],
  "frac_coords": [[0.0000, 0.5000, 0.0000], [0.0000, 0.0000, 0.5000], [0.5000, 0.5000, 0.5000], [0.5000, 0.0000, 0.0000]],
  "m_tot_mub_per_fu": 0.00,
  "crystal_system": "tetragonal",
  "relative_energy_mev_per_atom": 0,
  "formation_enthalpy_0k_ev_per_atom": -0.41,
  "mass_density_g_cm3": 11.0
}

=====

{
  "formula": "HfTi4Os5",
  "functional": "GGA-PBE",
  "state": "optimized geometry",
  "lattice_angstrom": [[3.1231, 0.0000, 0.0000], [0.0000, 3.1231, 0.0000], [0.0000, 0.0000, 15.6497]],
  "species": ["Os", "Os", "Os", "Os", "Os", "Ti", "Ti", "Ti", "Ti", "Hf"],
  "frac_coords": [[0.5000, 0.5000, 0.6962], [0.5000, 0.5000, 0.1081], [0.5000, 0.5000, 0.5000], [0.5000, 0.5000, 0.3038], [0.5000, 0.5000, 0.8919], [0.0000, 0.0000, 0.2057], [0.0000, 0.0000, 0.4019], [0.0000, 0.0000, 0.5981], [0.0000, 0.0000, 0.7943], [0.0000, 0.0000, 0.0000]],
  "m_tot_mub_per_fu": 0.00,
  "crystal_system": "tetragonal",
  "formation_enthalpy_0k_ev_per_atom": -0.69,
  "mass_density_g_cm3": 14.4
}

=====

{
  "formula": "CsAcTeS",
  "functional": "GGA-PBE",
  "state": "optimized geometry",
  "lattice_angstrom": [[-3.6723, 2.7235, -0.8324], [0.1958, -4.2630, -1.8402], [-1.6322, -3.6383, 8.2640]],
  "species": ["Te", "Ac", "S", "Cs"],
  "frac_coords": [[0.1058, 0.9509, 0.0719], [0.2872, 0.5414, 0.8441], [0.5126, 0.1540, 0.6823], [0.9722, 0.3845, 0.3714]],
  "m_tot_mub_per_fu": 0.00,
  "crystal_system": "trigonal",
  "e_tot_ev_per_fu": -18.79,
  "mass_density_g_cm3": 5.3
}

=====

{
  "formula": "CaIr2Se",
  "functional": "GGA-PBE",
  "state": "optimized geometry",
  "lattice_angstrom": [[4.7692, 0.0432, 0.0000], [-1.1997, 4.6161, 0.0000], [0.0000, 0.0000, 3.1561]],
  "species": ["Se", "Ir", "Ir", "Ca"],
  "frac_coords": [[0.5000, 0.0000, 0.5000], [0.0000, 0.0000, 0.0000], [0.5000, 0.5000, 0.0000], [0.0000, 0.5000, 0.5000]],
  "m_tot_mub_per_fu": 0.00,
  "crystal_system": "orthorhombic",
  "relative_energy_mev_per_atom": 402,
  "mass_density_g_cm3": 12.0
}